No. 1
Compound: CePaNiN3
Source: Alexandria
Functional: GGA-PBE
Structure: optimized geometry

Its total energy is -105.867 eV for the cell shown.

It has space group P2_1/m (No. 11), with a = 7.0237 Å, b = 3.4431 Å, c = 7.2453 Å, α = 90.00°, β = 100.14° and γ = 90.00°. The asymmetric unit holds Ce at (0.2110, 0.2500, 0.1631), Pa at (0.1875, 0.2500, 0.6579), Ni at (0.4148, 0.7500, 0.9007), N at (0.1274, 0.7500, 0.8744), N at (0.1397, 0.7500, 0.4271) and N at (0.4837, 0.7500, 0.1933).



No. 2
Compound: LiTaPb
Source: Alexandria
Functional: GGA-PBE
Structure: optimized geometry

For the energy of formation, the calculation gives 2.611 eV per formula unit. Its total energy is -59.456 eV for the cell shown. The calculation puts the energy above the lowest structure with this stoichiometry at 502 meV per atom.

It has space group F-43m (No. 216), with a = 6.5704 Å, b = 6.5704 Å, c = 6.5704 Å, α = 90.00°, β = 90.00° and γ = 90.00°. The asymmetric unit holds Li at (0.0000, 0.0000, 0.0000), Ta at (0.0000, 0.0000, 0.5000) and Pb at (0.2500, 0.2500, 0.2500).



No. 3
Compound: KTa2Co
Source: Alexandria
Functional: GGA-PBE
Structure: optimized geometry

For the energy of formation, the calculation gives 3.229 eV per formula unit. Its total energy is -57.359 eV for the cell shown. The calculation puts the energy above the lowest structure with this stoichiometry at 287 meV per atom.

It has space group Cm (No. 8), with a = 9.0611 Å, b = 3.0137 Å, c = 7.8528 Å, α = 90.00°, β = 106.48° and γ = 90.00°. The asymmetric unit holds K at (0.0000, 0.0000, 0.0000), Ta at (0.0971, 0.5000, 0.5633), Ta at (0.3438, 0.5000, 0.3769) and Co at (0.3270, 0.0000, 0.6074).



No. 4
Compound: Tb6CoHg3
Source: Alexandria
Functional: GGA-PBE
Structure: optimized geometry

For the energy of formation, the calculation gives -2.892 eV per formula unit. Its total energy is -77.370 eV for the cell shown. The calculation puts the energy above the lowest structure with this stoichiometry at 0 meV per atom.

It has space group P2_1/m (No. 11), with a = 8.9938 Å, b = 5.3152 Å, c = 11.3090 Å, α = 90.00°, β = 108.13° and γ = 90.00°. The asymmetric unit holds Tb at (0.0236, 0.2500, 0.4114), Tb at (0.1856, 0.7500, 0.1613), Tb at (0.2776, 0.2500, 0.9971), Tb at (0.3545, 0.7500, 0.8434), Tb at (0.3779, 0.2500, 0.3513), Tb at (0.3886, 0.2500, 0.6549), Co at (0.4597, 0.7500, 0.0971), Hg at (0.0015, 0.7500, 0.8688), Hg at (0.0828, 0.2500, 0.7151) and Hg at (0.2778, 0.7500, 0.4752).



No. 5
Compound: Nd2NpI
Source: Alexandria
Functional: GGA-PBE
Structure: optimized geometry

Its total energy is -69.534 eV for the cell shown.

It has space group R-3m (No. 166, hexagonal axes), with a = 3.5971 Å, b = 3.5971 Å, c = 35.4086 Å, α = 90.00°, β = 90.00° and γ = 120.00°. The asymmetric unit holds Nd at (0.0000, 0.0000, 0.0938), Np at (0.0000, 0.0000, 0.0000) and I at (0.0000, 0.0000, 0.5000).



No. 6
Compound: NaSm12Ni6
Source: Alexandria
Functional: GGA-PBE
Structure: optimized geometry

For the energy of formation, the calculation gives -3.856 eV per formula unit. Its total energy is -192.985 eV for the cell shown.

It has space group Im-3 (No. 204), with a = 10.0504 Å, b = 10.0504 Å, c = 10.0504 Å, α = 90.00°, β = 90.00° and γ = 90.00°. The asymmetric unit holds Na at (0.0000, 0.0000, 0.0000), Sm at (0.0000, 0.1885, 0.3127) and Ni at (0.0000, 0.3792, 0.5000).



No. 7
Compound: ThInHgAu
Source: Alexandria
Functional: GGA-PBE
Structure: optimized geometry

For the energy of formation, the calculation gives -1.743 eV per formula unit. Its total energy is -61.920 eV for the cell shown.

It has space group F-43m (No. 216), with a = 7.2869 Å, b = 7.2869 Å, c = 7.2869 Å, α = 90.00°, β = 90.00° and γ = 90.00°. The asymmetric unit holds Th at (0.0000, 0.0000, 0.0000), In at (0.0000, 0.0000, 0.5000), Hg at (0.2500, 0.2500, 0.2500) and Au at (0.2500, 0.2500, 0.7500).



No. 8
Compound: KGdEr2
Source: Alexandria
Functional: GGA-PBE
Structure: optimized geometry

For the energy of formation, the calculation gives 1.079 eV per formula unit. Its total energy is -69.676 eV for the cell shown.

It has space group R-3m (No. 166, hexagonal axes), with a = 3.5539 Å, b = 3.5539 Å, c = 39.5815 Å, α = 90.00°, β = 90.00° and γ = 120.00°. The asymmetric unit holds K at (0.0000, 0.0000, 0.0000), Gd at (0.0000, 0.0000, 0.5000) and Er at (0.0000, 0.0000, 0.0953).



No. 9
Compound: NdDy2ErS4
Source: Alexandria
Functional: GGA-PBE
Structure: optimized geometry

Its total energy is -50.906 eV for the cell shown.

It has space group P2/m (No. 10), with a = 6.8143 Å, b = 3.8933 Å, c = 6.8830 Å, α = 90.00°, β = 108.91° and γ = 90.00°. The asymmetric unit holds Nd at (0.0000, 0.0000, 0.0000), Dy at (0.5000, 0.0000, 0.5000), Dy at (0.5000, 0.5000, 0.0000), Er at (0.0000, 0.5000, 0.5000), S at (0.2518, 0.0000, 0.7420) and S at (0.2587, 0.5000, 0.2617).



No. 10
Compound: TiAl2Ni9
Source: Alexandria
Functional: GGA-PBE
Structure: optimized geometry

For the energy of formation, the calculation gives -5.486 eV per formula unit. Its total energy is -72.898 eV for the cell shown.

It has space group P4/mmm (No. 123), with a = 3.5837 Å, b = 3.5837 Å, c = 10.6999 Å, α = 90.00°, β = 90.00° and γ = 90.00°. The asymmetric unit holds Ti at (0.0000, 0.0000, 0.0000), Al at (0.0000, 0.0000, 0.3355), Ni at (0.0000, 0.5000, 0.1687), Ni at (0.0000, 0.5000, 0.5000), Ni at (0.5000, 0.5000, 0.0000) and Ni at (0.5000, 0.5000, 0.3344).